# 1
An optimized crystal structure of CaNiAg2. Source: Alexandria via LeMat-Bulk, functional PBE.

Lattice parameters (Å, degrees): 8.952 8.952 8.952 20.96 20.97 20.96
Site moments in Bohr magnetons follow the coordinates.
Fractional positions:
Ni1 0.750 0.750 0.750  0.59
Ca1 0.250 0.250 0.250  0.01
Ag1 0.011 0.011 0.011  0.01
Ag2 0.489 0.489 0.489  0.01

The calculation puts the density of states at the Fermi level at 5.896 states/eV/cell. The uncorrected energy comes out at -0.10972 hartree per atom.

# 2
An optimized crystal structure of AcSeS. Source: Alexandria via LeMat-Bulk, functional PBE.

Lattice parameters (Å, degrees): 5.100 5.100 5.100 60.00 60.00 60.00
Site moments in Bohr magnetons follow the coordinates.
Fractional positions:
Ac1 0.250 0.250 0.250  0.03
S1 0.500 0.500 0.500  0.20
Se1 0.000 0.000 0.000  0.20

The calculation puts the relative energy among the computed polymorphs at 322 meV per atom. The calculation puts the density of states at the Fermi level at 5.064 states/eV/cell. For the formation energy from raw total energies, the calculation gives -1.476 eV/atom. The uncorrected energy comes out at -0.19782 hartree per atom.